(1)
## BaCo2Rh (meta-GGA SCAN)

Data for BaCo2Rh at its PBEsol-relaxed geometry.

SG: No. 44
Size of the total moment, μB per formula unit: 4.273

a b c (Å): 5.435 5.435 5.435
angles (deg): 147.16 123.84 66.61
Sites, in units of the cell vectors:
Ba  0.000  0.000  0.000
Co  0.299  0.799  0.500
Co  0.482  0.482  0.000
Rh  0.702  0.202  0.500


(2)
## BaCo2Rh (meta-GGA SCAN)

Data for BaCo2Rh at its PBEsol-relaxed geometry.

SG: No. 65
Size of the total moment, μB per formula unit: 3.630

a b c (Å): 4.686 4.686 3.072
angles (deg): 90.00 90.00 101.10
Sites, in units of the cell vectors:
Ba  0.000  0.000  0.000
Co  0.000  0.500  0.500
Co  0.500  0.000  0.500
Rh  0.500  0.500  0.000


(3)
## BaCoRh2 (meta-GGA SCAN)

Data for BaCoRh2 at its PBEsol-relaxed geometry.

SG: No. 25
Size of the total moment, μB per formula unit: 3.017

a b c (Å): 2.910 3.533 7.080
angles (deg): 90.00 90.00 90.00
Sites, in units of the cell vectors:
Ba  0.000  0.000  0.000
Co  0.500  0.500  0.337
Rh  0.000  0.000  0.481
Rh  0.500  0.500  0.679


(4)
## BaCo2Rh (meta-GGA SCAN)

Data for BaCo2Rh at its PBEsol-relaxed geometry.

SG: No. 71
Size of the total moment, μB per formula unit: 4.694

a b c (Å): 5.562 5.562 5.562
angles (deg): 147.77 124.86 65.33
Sites, in units of the cell vectors:
Ba  0.000  0.000  0.000
Co  0.294  0.794  0.500
Co  0.706  0.206  0.500
Rh  0.500  0.500  0.000


Calculated values (states/eV/atom) of DOS(E_F) for the records, taken in order: 0.827, 0.617, 0.898, 0.680.
Calculated values (meV/atom) of calculated formation energy for the records, taken in order: 678, 844, 398, 765.